Entry 1:
{
  "formula": "Pr2Tm8Sc",
  "functional": "PBE",
  "state": "relaxed",
  "energy_ev_per_atom": -4.657,
  "lattice_angstrom": [[-4.701, 0.399, 1.510], [0.357, -7.242, 3.022], [4.944, 5.242, 5.880]],
  "species": ["Sc", "Tm", "Tm", "Tm", "Tm", "Tm", "Tm", "Tm", "Tm", "Pr", "Pr"],
  "fractional_positions": [[0.500, 0.000, 0.000], [0.133, 0.174, 0.265], [0.321, 0.092, 0.641], [0.679, 0.908, 0.359], [0.867, 0.826, 0.735], [0.044, 0.730, 0.087], [0.412, 0.551, 0.823], [0.588, 0.449, 0.177], [0.956, 0.270, 0.913], [0.226, 0.638, 0.452], [0.774, 0.362, 0.548]]
}

***

Entry 2:
{
  "formula": "Ca2Ge5Au3",
  "functional": "PBE",
  "state": "relaxed",
  "energy_ev_per_atom": -4.084,
  "lattice_angstrom": [[6.338, 0.064, 0.054], [3.251, 8.277, -0.148], [3.251, 1.130, 8.201]],
  "species": ["Ge", "Ge", "Ge", "Ge", "Ge", "Ge", "Ge", "Ge", "Ge", "Ge", "Ca", "Ca", "Ca", "Ca", "Au", "Au", "Au", "Au", "Au", "Au"],
  "fractional_positions": [[0.997, 0.756, 0.751], [0.003, 0.244, 0.249], [0.503, 0.249, 0.244], [0.378, 0.258, 0.988], [0.497, 0.751, 0.756], [0.750, 0.504, 0.496], [0.878, 0.988, 0.258], [0.122, 0.012, 0.742], [0.622, 0.742, 0.012], [0.250, 0.496, 0.504], [0.620, 0.132, 0.629], [0.380, 0.868, 0.371], [0.120, 0.629, 0.132], [0.880, 0.371, 0.868], [0.632, 0.505, 0.230], [0.132, 0.230, 0.505], [0.250, 0.007, 0.993], [0.368, 0.495, 0.770], [0.868, 0.770, 0.495], [0.750, 0.993, 0.007]]
}

***

Entry 3:
{
  "formula": "Re3PI",
  "functional": "PBE",
  "state": "relaxed",
  "energy_ev_per_atom": -5.676,
  "lattice_angstrom": [[4.824, 0.000, 0.000], [0.000, 4.824, 0.000], [0.000, 0.000, 4.824]],
  "species": ["I", "Re", "Re", "Re", "P"],
  "fractional_positions": [[0.000, 0.000, 0.000], [0.000, 0.500, 0.000], [0.500, 0.000, 0.000], [0.000, 0.000, 0.500], [0.500, 0.500, 0.500]]
}

***

Entry 4:
{
  "formula": "KHF4",
  "functional": "PBE",
  "state": "relaxed",
  "energy_ev_per_atom": -3.187,
  "lattice_angstrom": [[0.000, 3.802, 6.472], [3.403, 0.000, 6.472], [3.403, 3.802, 0.000]],
  "species": ["F", "F", "F", "F", "F", "F", "F", "F", "H", "H", "K", "K"],
  "fractional_positions": [[0.293, 0.815, 0.986], [0.435, 0.957, 0.343], [0.343, 0.264, 0.435], [0.907, 0.986, 0.815], [0.957, 0.435, 0.264], [0.264, 0.343, 0.957], [0.986, 0.907, 0.293], [0.815, 0.293, 0.907], [0.250, 0.250, 0.250], [0.000, 0.000, 0.000], [0.750, 0.750, 0.750], [0.500, 0.500, 0.500]]
}

***

Entry 5:
{
  "formula": "LaTl4Hg",
  "functional": "PBE",
  "state": "relaxed",
  "energy_ev_per_atom": -2.477,
  "lattice_angstrom": [[6.087, -0.843, 1.692], [1.648, 0.154, 6.156], [1.772, -5.360, 2.960]],
  "species": ["Hg", "La", "Tl", "Tl", "Tl", "Tl"],
  "fractional_positions": [[0.750, 0.750, 0.750], [0.000, 0.000, 0.000], [0.375, 0.375, 0.375], [0.375, 0.874, 0.375], [0.874, 0.375, 0.375], [0.375, 0.375, 0.874]]
}

***

Entry 6:
{
  "formula": "Ag2TeP",
  "functional": "PBE",
  "state": "relaxed",
  "energy_ev_per_atom": -3.313,
  "lattice_angstrom": [[-0.659, 1.303, -2.983], [1.885, -2.125, -1.345], [-6.305, -5.061, -0.817]],
  "species": ["Ag", "Ag", "Te", "P"],
  "fractional_positions": [[0.000, 0.750, 0.059], [0.000, 0.750, 0.441], [0.500, 0.750, 0.750], [0.500, 0.250, 0.250]]
}

***

Entry 7:
{
  "formula": "GaMoW",
  "functional": "PBE",
  "state": "relaxed",
  "energy_ev_per_atom": -8.467,
  "lattice_angstrom": [[-4.261, 2.965, -0.477], [-2.392, 0.461, -4.251], [-4.882, -2.289, 0.901]],
  "species": ["Ga", "Ga", "W", "W", "Mo", "Mo"],
  "fractional_positions": [[0.165, 0.670, 0.000], [0.835, 0.330, 0.000], [0.250, 0.500, 0.500], [0.750, 0.500, 0.500], [0.365, 0.000, 0.270], [0.635, 0.000, 0.730]]
}

***

Entry 8:
{
  "formula": "AcHoMo2N6",
  "functional": "PBE",
  "state": "relaxed",
  "energy_ev_per_atom": -8.868,
  "lattice_angstrom": [[-4.111, 2.254, -4.708], [-5.166, -5.401, -1.381], [-5.917, 3.302, 3.442]],
  "species": ["N", "N", "N", "N", "N", "N", "N", "N", "N", "N", "N", "N", "Mo", "Mo", "Mo", "Mo", "Ac", "Ac", "Ho", "Ho"],
  "fractional_positions": [[0.406, 0.327, 0.359], [0.594, 0.673, 0.641], [0.869, 0.384, 0.860], [0.631, 0.140, 0.616], [0.131, 0.616, 0.140], [0.175, 0.003, 0.762], [0.825, 0.997, 0.238], [0.675, 0.762, 0.003], [0.325, 0.238, 0.997], [0.906, 0.359, 0.327], [0.094, 0.641, 0.673], [0.369, 0.860, 0.384], [0.698, 0.207, 0.376], [0.198, 0.376, 0.207], [0.802, 0.624, 0.793], [0.302, 0.793, 0.624], [0.250, 0.901, 0.099], [0.750, 0.099, 0.901], [0.750, 0.705, 0.295], [0.250, 0.295, 0.705]]
}